1.
Density functional theory data (PBE-GGA) for SrVRe2 after structural relaxation.

```
8
Lattice="-3.4548 -0.4977 3.5013 -3.3311 -1.1857 -3.4555 -1.3880 -8.9011 0.8556" Properties=species:S:1:pos:R:3 pbc="T T T"
Re -2.0593 -2.5602 1.0953
Re -3.7242 -3.1529 -0.6331
Re -4.4182 -7.6034 -0.2046
Re -6.1463 -7.8525 1.5453
Sr 0.0000 0.0000 0.0000
Sr -4.1179 -5.1203 2.1899
V -3.3930 -0.8417 0.0229
V -4.0561 -5.4643 -1.2885
```

Summary:
Formation energy from the elements ... 1.1109 eV/atom
Density of states at the Fermi level ... 11.317 states/eV per cell
Space-group type ... I4_1/amd (141)
E_tot ... -7.81 eV/atom
Energy relative to the lowest polymorph listed for this composition ... 4 meV per atom

=====

2.
Density functional theory data (PBE-GGA) for KNaSb3 after structural relaxation.

```
5
Lattice="-4.0527 -3.0946 -3.0706 3.5103 -4.8025 0.2070 -2.5851 -1.6700 5.0949" Properties=species:S:1:pos:R:3 pbc="T T T"
Sb 1.7552 -2.4012 0.1035
Sb -1.2925 -0.8350 2.5474
Sb -2.0263 -1.5473 -1.5353
K 0.0000 0.0000 0.0000
Na -1.5637 -4.7835 1.1156
```

Summary:
Density of states at the Fermi level ... 9.108 states/eV per cell
Raw formation energy ... 0.847 eV per atom
Space-group type ... Pm-3m (221)
E_tot ... -2.11 eV/atom
Energy relative to the lowest polymorph listed for this composition ... 911 meV per atom

=====

3.
Density functional theory data (PBE-GGA) for PuTh2Ti after structural relaxation.

```
4
Lattice="-0.0206 -2.6638 -2.4846 3.1370 -1.1985 -1.4114 1.6796 -7.6976 5.5687" Properties=species:S:1:pos:R:3 pbc="T T T"
Ti 0.0000 0.0000 0.0000
Th 1.4757 -5.6585 3.3841
Th 3.3203 -5.9014 -1.7114
Pu 2.3980 -5.7799 0.8364
```

Summary:
Formation energy from the elements ... 1.2235 eV/atom
Density of states at the Fermi level ... 7.622 states/eV per cell
Space-group type ... R-3m (166)
E_tot ... -8.04 eV/atom
Energy relative to the lowest polymorph listed for this composition ... 1101 meV per atom

=====

4.
Density functional theory data (PBE-GGA) for TbPm3Pr2Sm6 after structural relaxation.

```
12
Lattice="-5.9467 0.7781 1.9626 1.2189 -0.7671 -6.1438 0.4517 -11.7835 2.6454" Properties=species:S:1:pos:R:3 pbc="T T T"
Tb 0.0000 0.0000 0.0000
Pm 0.2511 -6.4015 -3.4707
Pm -4.5272 -5.3710 1.9350
Pm -2.1380 -5.8863 -0.7679
Pr -1.1699 -0.2520 -3.4413
Pr -3.5579 0.2630 -0.7398
Sm -4.4005 -8.5682 0.1916
Sm -3.4375 -2.9455 -2.4771
Sm 0.1244 -3.2043 -1.7273
Sm -2.0195 -9.0816 -2.5021
Sm -0.8386 -8.8271 0.9413
Sm -2.2566 -2.6909 0.9663
```

Summary:
Formation energy from the elements ... 0.0132 eV/atom
Density of states at the Fermi level ... 17.175 states/eV per cell
Space-group type ... C2/m (12)
E_tot ... -4.72 eV/atom

=====

5.
Density functional theory data (PBE-GGA) for LiPm2Cd after structural relaxation.

```
4
Lattice="3.9042 0.0000 0.0000 0.0000 5.3260 0.0000 0.0000 0.0000 5.3260" Properties=species:S:1:pos:R:3 pbc="T T T"
Cd 1.9521 0.0000 0.0000
Li 1.9521 2.6630 2.6630
Pm 0.0000 0.0000 2.6630
Pm 0.0000 2.6630 0.0000
```

Summary:
Formation energy from the elements ... -0.1237 eV/atom
Density of states at the Fermi level ... 5.482 states/eV per cell
Space-group type ... P4/mmm (123)
E_tot ... -3.21 eV/atom
Energy relative to the lowest polymorph listed for this composition ... 0 meV per atom

=====

6.
Density functional theory data (PBE-GGA) for PmHo2Er12 after structural relaxation.

```
30
Lattice="-0.4190 -1.6991 -6.4323 5.4844 -2.8311 -2.5186 -6.5574 -21.2405 7.0392" Properties=species:S:1:pos:R:3 pbc="T T T"
Pm -6.7668 -22.0897 3.8229
Pm 2.7421 -1.4159 -1.2592
Ho 2.9842 -9.6729 -3.9983
Ho 0.4516 -7.4075 0.4770
Ho -1.9436 -18.3628 -2.3889
Ho -4.4763 -16.0981 2.0867
Er -3.9435 -19.1535 0.4072
Er -0.9917 -19.7195 2.3638
Er -1.5687 -21.5081 -0.5849
Er -3.4698 -22.0805 2.1564
Er 2.8958 -9.5965 -0.5596
Er 4.9295 -4.2562 -2.1114
Er -1.9446 -13.9400 -1.1017
Er -0.0560 -9.0304 -2.5162
Er -4.1013 -19.2431 3.8906
Er 2.6093 -6.5276 -5.8023
Er -1.8813 -13.4639 2.2220
Er -2.4991 -11.2646 -2.7668
Er -4.3877 -16.1742 -1.3523
Er -2.1434 -10.0417 0.3417
Er 0.0766 -4.2624 -1.3269
Er 0.3876 -12.3082 -4.1340
Er 0.6530 -15.7275 -2.2532
Er -0.5003 -6.0512 -4.2757
Er 1.0061 -14.5051 0.8568
Er -1.4361 -16.7401 0.6047
Er -6.4215 -21.5144 0.1997
Er 2.4514 -6.6171 -2.3188
Er 0.4536 -11.8315 -0.8117
Er 1.9778 -3.6902 -4.0682
```

Summary:
Formation energy from the elements ... 0.0715 eV/atom
Density of states at the Fermi level ... 48.395 states/eV per cell
Space-group type ... P2/m (10)
E_tot ... -4.51 eV/atom

=====

7.
Density functional theory data (PBE-GGA) for Nd6Os2Br3F after structural relaxation.

```
12
Lattice="-4.8949 -3.3252 -3.9165 4.5778 -3.7510 3.9153 -4.8703 2.5796 6.0310" Properties=species:S:1:pos:R:3 pbc="T T T"
Nd -5.7835 -3.2488 3.4972
Nd -1.1731 -4.6111 1.1683
Nd 0.5962 -1.2479 2.5326
Nd -2.5251 -3.3953 6.1912
Nd -4.0142 0.1144 4.8616
Nd -2.6623 -1.1014 -0.1614
Os 1.4210 -3.6091 1.3053
Os -1.7380 -3.4671 -1.3065
Br 0.5402 -2.3892 5.6059
Br -5.7276 -2.1075 0.4239
Br -2.5937 -2.2483 3.0149
F 0.0000 0.0000 0.0000
```

Summary:
Density of states at the Fermi level ... 2.761 states/eV per cell
Raw formation energy ... -1.098 eV per atom
Space-group type ... C2/m (12)
E_tot ... -5.93 eV/atom

=====

8.
Density functional theory data (PBE-GGA) for RbAl3Zn after structural relaxation.

```
5
Lattice="-4.3584 2.6239 0.2395 -2.2096 -3.3877 -3.0951 -1.4353 -2.7526 4.0375" Properties=species:S:1:pos:R:3 pbc="T T T"
Zn 0.0000 0.0000 0.0000
Al -1.1048 -1.6938 -1.5476
Al -0.7177 -1.3763 2.0187
Al -2.1792 1.3120 0.1197
Rb -4.0017 -1.7582 0.5909
```

Summary:
Formation energy from the elements ... 0.4988 eV/atom
Density of states at the Fermi level ... 3.082 states/eV per cell
Space-group type ... Pm-3m (221)
E_tot ... -2.20 eV/atom
Energy relative to the lowest polymorph listed for this composition ... 0 meV per atom

=====

9.
Density functional theory data (PBE-GGA) for SmTlBPt4 after structural relaxation.

```
7
Lattice="7.4609 0.0000 0.0000 3.7304 6.4613 0.0000 3.7304 2.1538 6.0918" Properties=species:S:1:pos:R:3 pbc="T T T"
Sm 7.4609 4.3076 3.0459
Tl 11.1913 6.4613 4.5688
B 3.7304 2.1538 1.5229
Pt 7.4609 4.3076 5.6538
Pt 5.3315 3.0782 2.1766
Pt 7.4609 6.7663 2.1766
Pt 9.5903 3.0782 2.1766
```

Summary:
Formation energy from the elements ... 0.9482 eV/atom
Density of states at the Fermi level ... 10.047 states/eV per cell
Space-group type ... F-43m (216)
E_tot ... -4.47 eV/atom

=====

10.
Density functional theory data (PBE-GGA) for AcThSb2 after structural relaxation.

```
8
Lattice="-1.5607 2.6193 3.4310 0.7403 -4.4779 0.6850 14.5686 3.0644 4.2874" Properties=species:S:1:pos:R:3 pbc="T T T"
Ac 2.8485 1.0197 3.5875
Ac 10.8997 0.1861 4.8158
Th 7.2843 1.5322 2.1437
Th 0.0000 0.0000 0.0000
Sb 5.5795 -0.9329 3.2502
Sb 12.0968 2.9650 6.3092
Sb 8.1687 2.1387 5.1532
Sb 1.6514 -1.7592 2.0942
```

Summary:
Density of states at the Fermi level ... 4.921 states/eV per cell
Raw formation energy ... -1.037 eV per atom
Space-group type ... P6_3/mmc (194)
E_tot ... -5.98 eV/atom
Energy relative to the lowest polymorph listed for this composition ... 24 meV per atom

=====

11.
Density functional theory data (PBE-GGA) for PaReRu2 after structural relaxation.

```
4
Lattice="3.9766 0.0000 0.0000 0.0000 4.1194 0.0000 0.0000 0.0000 4.1194" Properties=species:S:1:pos:R:3 pbc="T T T"
Re 1.9883 2.0597 2.0597
Pa 1.9883 0.0000 0.0000
Ru 0.0000 0.0000 2.0597
Ru 0.0000 2.0597 0.0000
```

Summary:
Formation energy from the elements ... -0.1411 eV/atom
Density of states at the Fermi level ... 4.071 states/eV per cell
Space-group type ... P4/mmm (123)
E_tot ... -10.27 eV/atom

=====

12.
Density functional theory data (PBE-GGA) for TbPrAl3 after structural relaxation.

```
10
Lattice="4.5756 0.0000 0.0000 0.0000 3.7453 0.0000 0.0000 -1.8726 13.9240" Properties=species:S:1:pos:R:3 pbc="T T T"
Tb 1.1439 1.8726 8.0597
Tb 3.4317 0.0000 5.8643
Pr 1.1439 0.0000 2.0249
Pr 3.4317 1.8726 11.8991
Al 1.1439 0.0000 10.5672
Al 3.4317 1.8726 3.3568
Al 1.1439 0.0000 13.2504
Al 3.4317 1.8726 0.6735
Al 3.4317 0.0000 9.1052
Al 1.1439 1.8726 4.8188
```

Summary:
Formation energy from the elements ... -0.4348 eV/atom
Density of states at the Fermi level ... 6.625 states/eV per cell
Space-group type ... Cmcm (63)
E_tot ... -4.56 eV/atom

=====

13.
Density functional theory data (PBE-GGA) for K2IrPt after structural relaxation.

```
4
Lattice="-1.6092 -1.6779 1.6078 0.1192 -2.0126 -1.9811 8.6500 -3.9508 4.5343" Properties=species:S:1:pos:R:3 pbc="T T T"
Ir 5.7426 -4.8084 3.2140
K 0.0171 -0.0078 0.0090
K 4.3079 -1.9676 2.2582
Pt 1.4176 -2.8330 0.9469
```

Summary:
Formation energy from the elements ... 0.5702 eV/atom
Density of states at the Fermi level ... 3.695 states/eV per cell
Space-group type ... P4/mmm (123)
E_tot ... -3.70 eV/atom
Energy relative to the lowest polymorph listed for this composition ... 331 meV per atom